Record 1
TeAsIr2 | PBE | optimized geometry Values from VASP.

Computed properties:
The calculation puts the formation energy from raw total energies at 753.5 meV/atom. The crystal system is cubic. The energy above the most stable polymorph in this dataset is 885 meV/atom. The value obtained for the calculated density is 13.71 g/cm3. The calculation puts the total magnetization at 0.00 μB/atom.

The structure in Quantum ESPRESSO input format:
```
&SYSTEM
  ibrav = 0, nat = 4, ntyp = 3
/
ATOMIC_SPECIES
Te 127.60 Te.upf
As 74.92 As.upf
Ir 192.22 Ir.upf
ATOMIC_POSITIONS crystal
Te 0.000 0.000 0.000
As 0.250 0.250 0.250
Ir 0.500 0.500 0.500
Ir 0.750 0.750 0.750
CELL_PARAMETERS angstrom
0.000 3.288 3.288
3.288 0.000 3.288
3.288 3.288 0.000
```

---

Record 2
SrBeSb2 | PBE | optimized geometry Values from VASP.

Computed properties:
The calculation puts the formation energy from raw total energies at -161.2 meV/atom. The crystal system is monoclinic. The value obtained for the calculated density is 4.78 g/cm3. The calculation puts the total magnetization at 0.00 μB/atom.

The structure in Quantum ESPRESSO input format:
```
&SYSTEM
  ibrav = 0, nat = 4, ntyp = 3
/
ATOMIC_SPECIES
Sr 87.62 Sr.upf
Be 9.01 Be.upf
Sb 121.76 Sb.upf
ATOMIC_POSITIONS crystal
Sr 0.000 0.000 0.000
Be 0.579 0.500 0.374
Sb 0.069 0.500 0.504
Sb 0.498 0.000 0.500
CELL_PARAMETERS angstrom
4.851 0.000 0.000
0.000 4.957 0.000
-0.016 0.000 4.917
```

---

Record 3
BeTc2Cl | PBE | optimized geometry Values from VASP.

Computed properties:
The calculation puts the formation energy from raw total energies at 570.9 meV/atom. The crystal system is orthorhombic. The energy above the most stable polymorph in this dataset is 477 meV/atom. The value obtained for the calculated density is 7.21 g/cm3. The calculation puts the total magnetization at 0.00 μB/atom.

The structure in Quantum ESPRESSO input format:
```
&SYSTEM
  ibrav = 0, nat = 4, ntyp = 3
/
ATOMIC_SPECIES
Be 9.01 Be.upf
Tc 98.00 Tc.upf
Cl 35.45 Cl.upf
ATOMIC_POSITIONS crystal
Be 0.000 0.000 0.000
Tc 0.500 0.500 0.214
Tc 0.500 0.500 0.786
Cl 0.000 0.000 0.500
CELL_PARAMETERS angstrom
1.557 -2.333 0.000
1.557 2.333 0.000
0.000 0.000 7.621
```

---

Record 4
ThZn10Ni2 | PBE | optimized geometry Values from VASP.

Computed properties:
Its formation energy is -0.230 eV/atom. The crystal system is orthorhombic. The energy above the most stable polymorph in this dataset is 0 meV/atom. The value obtained for the calculated density is 8.32 g/cm3. The calculation puts the total magnetization at 0.00 μB/atom.

The structure in Quantum ESPRESSO input format:
```
&SYSTEM
  ibrav = 0, nat = 26, ntyp = 3
/
ATOMIC_SPECIES
Th 232.04 Th.upf
Zn 65.41 Zn.upf
Ni 58.69 Ni.upf
ATOMIC_POSITIONS crystal
Th 0.123 0.877 0.750
Th 0.877 0.123 0.250
Zn 0.139 0.401 0.750
Zn 0.159 0.841 0.102
Zn 0.159 0.841 0.398
Zn 0.225 0.477 0.250
Zn 0.230 0.230 0.000
Zn 0.230 0.230 0.500
Zn 0.377 0.623 0.544
Zn 0.377 0.623 0.956
Zn 0.401 0.139 0.250
Zn 0.477 0.225 0.750
Zn 0.523 0.775 0.250
Zn 0.599 0.861 0.750
Zn 0.623 0.377 0.044
Zn 0.623 0.377 0.456
Zn 0.770 0.770 0.000
Zn 0.770 0.770 0.500
Zn 0.775 0.523 0.750
Zn 0.841 0.159 0.602
Zn 0.841 0.159 0.898
Zn 0.861 0.599 0.250
Ni 0.000 0.500 0.000
Ni 0.000 0.500 0.500
Ni 0.500 0.000 0.000
Ni 0.500 0.000 0.500
CELL_PARAMETERS angstrom
4.448 -5.150 0.000
4.448 5.150 0.000
0.000 0.000 8.745
```

---

Record 5
BaHf2Si2 | PBE | optimized geometry Values from VASP.

Computed properties:
The calculation puts the formation energy from raw total energies at -181.7 meV/atom. The crystal system is tetragonal. The energy above the most stable polymorph in this dataset is 0 meV/atom. The value obtained for the calculated density is 8.54 g/cm3. The calculation puts the total magnetization at 0.00 μB/atom.

The structure in Quantum ESPRESSO input format:
```
&SYSTEM
  ibrav = 0, nat = 10, ntyp = 3
/
ATOMIC_SPECIES
Ba 137.33 Ba.upf
Hf 178.49 Hf.upf
Si 28.09 Si.upf
ATOMIC_POSITIONS crystal
Ba 0.000 0.000 0.000
Ba 0.500 0.500 0.000
Hf 0.126 0.374 0.000
Hf 0.374 0.874 0.000
Hf 0.626 0.126 0.000
Hf 0.874 0.626 0.000
Si 0.164 0.664 0.500
Si 0.336 0.164 0.500
Si 0.664 0.836 0.500
Si 0.836 0.336 0.500
CELL_PARAMETERS angstrom
8.406 0.000 0.000
0.000 8.406 0.000
0.000 0.000 3.029
```

---

Record 6
Sn5BiAu4 | PBE | optimized geometry Values from VASP.

Computed properties:
Its formation energy is -0.071 eV/atom. The crystal system is monoclinic. The value obtained for the calculated density is 10.05 g/cm3. The calculation puts the total magnetization at 0.00 μB/atom.

The structure in Quantum ESPRESSO input format:
```
&SYSTEM
  ibrav = 0, nat = 10, ntyp = 3
/
ATOMIC_SPECIES
Sn 118.71 Sn.upf
Bi 208.98 Bi.upf
Au 196.97 Au.upf
ATOMIC_POSITIONS crystal
Sn 0.000 0.000 0.000
Sn 0.319 0.319 0.988
Sn 0.342 0.342 0.553
Sn 0.658 0.658 0.447
Sn 0.681 0.681 0.012
Bi 0.000 0.000 0.500
Au 0.195 0.195 0.239
Au 0.478 0.478 0.233
Au 0.522 0.522 0.767
Au 0.805 0.805 0.761
CELL_PARAMETERS angstrom
7.891 -2.294 0.000
7.891 2.294 0.000
-1.873 0.000 7.263
```

---

Record 7
AcPr3Nd6 | PBE | optimized geometry Values from VASP.

Computed properties:
Its formation energy is 0.194 eV/atom. The crystal system is orthorhombic. The energy above the most stable polymorph in this dataset is 0 meV/atom. The value obtained for the calculated density is 6.76 g/cm3. The calculation puts the total magnetization at 0.00 μB/atom.

The structure in Quantum ESPRESSO input format:
```
&SYSTEM
  ibrav = 0, nat = 20, ntyp = 3
/
ATOMIC_SPECIES
Ac 227.00 Ac.upf
Pr 140.91 Pr.upf
Nd 144.24 Nd.upf
ATOMIC_POSITIONS crystal
Ac 0.197 0.803 0.500
Ac 0.803 0.197 0.000
Pr 0.186 0.240 0.521
Pr 0.240 0.186 0.021
Pr 0.409 0.591 0.287
Pr 0.591 0.409 0.787
Pr 0.760 0.814 0.521
Pr 0.814 0.760 0.021
Nd 0.005 0.995 0.768
Nd 0.056 0.478 0.218
Nd 0.208 0.792 0.006
Nd 0.273 0.494 0.809
Nd 0.478 0.056 0.718
Nd 0.494 0.273 0.309
Nd 0.506 0.727 0.809
Nd 0.522 0.944 0.218
Nd 0.727 0.506 0.309
Nd 0.792 0.208 0.506
Nd 0.944 0.522 0.718
Nd 0.995 0.005 0.268
CELL_PARAMETERS angstrom
6.911 -7.492 0.000
6.911 7.492 0.000
0.000 0.000 7.189
```

---

Record 8
Mo3RhS | PBE | optimized geometry Values from VASP.

Computed properties:
The calculation puts the formation energy from raw total energies at 585.7 meV/atom. The crystal system is cubic. The energy above the most stable polymorph in this dataset is 0 meV/atom. The value obtained for the calculated density is 8.37 g/cm3. The calculation puts the total magnetization at 0.00 μB/atom.

The structure in Quantum ESPRESSO input format:
```
&SYSTEM
  ibrav = 0, nat = 5, ntyp = 3
/
ATOMIC_SPECIES
Mo 95.94 Mo.upf
Rh 102.91 Rh.upf
S 32.06 S.upf
ATOMIC_POSITIONS crystal
Mo 0.000 0.000 0.500
Mo 0.000 0.500 0.000
Mo 0.500 0.000 0.000
Rh 0.500 0.500 0.500
S 0.000 0.000 0.000
CELL_PARAMETERS angstrom
4.378 0.000 0.000
0.000 4.378 0.000
0.000 0.000 4.378
```

---

Record 9
Sn2Bi2Te | PBE | optimized geometry Values from VASP.

Computed properties:
The calculation puts the formation energy from raw total energies at 143.5 meV/atom. The crystal system is tetragonal. The energy above the most stable polymorph in this dataset is 66 meV/atom. The value obtained for the calculated density is 8.48 g/cm3. The calculation puts the total magnetization at 0.00 μB/atom.

The structure in Quantum ESPRESSO input format:
```
&SYSTEM
  ibrav = 0, nat = 10, ntyp = 3
/
ATOMIC_SPECIES
Sn 118.71 Sn.upf
Bi 208.98 Bi.upf
Te 127.60 Te.upf
ATOMIC_POSITIONS crystal
Sn 0.154 0.346 0.000
Sn 0.346 0.846 0.000
Sn 0.654 0.154 0.000
Sn 0.846 0.654 0.000
Bi 0.148 0.648 0.500
Bi 0.352 0.148 0.500
Bi 0.648 0.852 0.500
Bi 0.852 0.352 0.500
Te 0.000 0.000 0.000
Te 0.500 0.500 0.000
CELL_PARAMETERS angstrom
8.819 0.000 0.000
0.000 8.819 0.000
0.000 0.000 3.942
```

---

Record 10
La2PO | PBE | optimized geometry Values from VASP.

Computed properties:
The calculation puts the formation energy from raw total energies at -1973.0 meV/atom. The crystal system is orthorhombic. The energy above the most stable polymorph in this dataset is 179 meV/atom. The value obtained for the calculated density is 5.24 g/cm3. The calculation puts the total magnetization at 0.00 μB/atom.

The structure in Quantum ESPRESSO input format:
```
&SYSTEM
  ibrav = 0, nat = 8, ntyp = 3
/
ATOMIC_SPECIES
La 138.91 La.upf
P 30.97 P.upf
O 16.00 O.upf
ATOMIC_POSITIONS crystal
La 0.250 0.250 0.045
La 0.250 0.250 0.600
La 0.750 0.750 0.400
La 0.750 0.750 0.955
P 0.250 0.750 0.185
P 0.750 0.250 0.815
O 0.250 0.750 0.525
O 0.750 0.250 0.475
CELL_PARAMETERS angstrom
4.204 0.000 0.000
0.000 4.823 0.000
0.000 0.000 10.144
```